Record 1
Computed, not measured: a relaxed structure of LiCuP4O12 at the PBEsol level of DFT.

The structure in extended XYZ format:
```
18
Lattice="5.3731 0.2199 0.4007 -2.0508 6.3273 0.0342 -0.8446 -2.7681 6.4838" Properties=species:S:1:pos:R:3 pbc="T T T"
O 3.0448 -2.1732 5.7490
O -1.2133 3.5061 1.9225
O 2.8958 2.4541 5.6874
O 2.6326 1.7645 2.8136
O 1.1074 4.6235 2.2861
O 3.7008 0.1514 5.0488
O -0.2107 1.8499 4.0374
O 2.9211 2.6193 0.4548
O 1.3349 -0.6795 4.5777
O -0.5040 1.1614 6.4586
O -0.7844 5.8615 1.2053
O -0.4634 1.2758 1.1733
P 3.6181 2.2977 1.8684
P -1.2036 1.4155 5.0303
P -0.0631 4.5020 1.4087
P 2.4785 -0.7646 5.5066
Cu 2.3921 3.7201 6.9073
Li 1.0763 0.7474 3.1296
```

Properties
Its space group is P1 (1). The total moment is 0.00 Bohr magnetons per cell. As for the volume: 12.68 Å³ per atom. As for the polymorph energy (0 for the lowest one): 0.0000 eV/atom. The formation energy (no corrections) comes out at -1876.3 meV/atom.


Record 2
Computed, not measured: a relaxed structure of Li3CuP2O7 at the PBEsol level of DFT.

The structure in extended XYZ format:
```
26
Lattice="5.1350 -0.0191 -0.1082 -2.5495 6.9762 0.1753 -0.5313 -3.0245 8.5410" Properties=species:S:1:pos:R:3 pbc="T T T"
Li -2.1191 4.3881 4.9066
Li -0.4082 5.9293 0.6051
Li 2.4624 -1.9967 8.0030
Li -0.6737 -1.3854 6.7249
Li 2.7279 5.3180 1.8832
Li 4.1733 -0.4554 3.7015
O 0.4410 -0.6918 5.2114
O -0.4860 3.4587 4.2570
O 0.8670 2.5688 2.2805
O 0.2827 3.1541 7.7984
O 1.6132 4.6245 3.3967
O -0.4053 1.8552 0.2005
O 2.3227 3.6600 6.4033
O 2.5402 0.4739 4.3511
O 1.1872 1.3639 6.3276
O -0.5355 4.7063 2.0658
O 2.5897 -0.7737 6.5423
O 1.7715 0.7786 0.8097
O 2.4595 2.0775 8.4076
O -0.2685 0.2726 2.2049
P 1.7289 0.0436 5.5913
P 0.4700 1.2966 1.3663
P 0.3252 3.8890 3.0168
P 1.5841 2.6360 7.2418
Cu -1.2748 3.4881 0.0876
Cu -1.5404 1.9758 4.3581
```

Properties
Its space group is P-1 (2). The total moment is 0.07 Bohr magnetons per cell. As for the volume: 11.81 Å³ per atom. The formation energy (no corrections) comes out at -2066.8 meV/atom.


Record 3
Computed, not measured: a relaxed structure of Li3Cu3P2O8 at the PBEsol level of DFT.

The structure in extended XYZ format:
```
16
Lattice="-1.2955 1.9418 4.4807 -4.9550 0.5036 -1.7082 -1.2961 -5.6775 2.0857" Properties=species:S:1:pos:R:3 pbc="T T T"
O -5.1170 -2.5365 2.9127
O -1.7823 1.4553 2.8540
O -1.9020 -0.7195 0.5073
O -4.4784 0.6414 -1.0369
O -5.1376 -2.0355 0.4396
O -2.0032 -1.5995 3.5741
O -4.5767 -0.1696 2.0432
O -2.6827 -4.1393 1.7636
P -0.7817 0.0961 -0.2241
P -5.4503 -1.4478 1.8449
Cu -1.7964 -2.7035 0.6974
Cu -4.8009 0.5914 3.8989
Cu -5.3521 -1.8228 4.7857
Li -4.8102 1.3935 0.8040
Li -2.6220 -0.2568 2.2849
Li -3.2663 -3.0790 3.3216
```

Properties
Its space group is Pm (6). The total moment is 0.00 Bohr magnetons per cell. As for the volume: 10.28 Å³ per atom. As for the polymorph energy (0 for the lowest one): 0.0000 eV/atom. The formation energy (no corrections) comes out at -1740.8 meV/atom.


Record 4
Computed, not measured: a relaxed structure of Li2CuP4O12 at the PBEsol level of DFT.

The structure in extended XYZ format:
```
38
Lattice="7.4013 0.0255 0.0384 -0.2524 8.1665 0.0127 -0.2524 -3.1688 7.5266" Properties=species:S:1:pos:R:3 pbc="T T T"
O 1.0111 0.1334 6.9159
O 6.2472 2.4406 1.1862
O 4.9056 0.3378 1.2901
O 0.6492 2.5826 6.3915
O 2.1847 -1.3075 4.7423
O 6.5500 0.9526 5.3255
O 1.5979 6.7421 0.9707
O 1.2050 1.0439 0.7944
O 5.2985 -1.7190 6.6071
O 0.3464 4.0706 2.2522
O 3.1183 2.5001 7.0584
O 2.8493 4.5213 2.9322
O 3.7781 2.5230 0.5194
O 2.5465 0.1293 2.6906
O 4.0471 0.5018 4.6456
O 5.8853 4.8898 0.6619
O 5.6914 3.9792 6.7834
O 4.3499 4.8938 4.8871
O 4.7117 6.3306 2.8355
O 1.9908 4.6853 6.2876
O 5.2985 3.8619 2.9076
O 6.8189 5.5401 5.0709
O 1.5979 1.1613 4.6701
O 0.0775 -0.5170 2.5069
P 2.6805 0.0514 4.2663
P 5.6100 5.1603 5.8508
P 0.5153 1.1010 5.8497
P 6.3811 3.9222 1.7281
P 1.9094 3.3664 7.0123
P 1.2864 -0.1372 1.7269
P 4.9870 1.6568 0.5654
P 4.2159 4.9718 3.3115
Cu 5.2985 6.7266 1.0086
Cu 1.5979 -1.7035 6.5691
Li 4.7524 1.5495 6.2371
Li 1.0518 5.1284 3.8370
Li 5.8446 -0.1053 3.7407
Li 2.1440 3.4736 1.3407
```

Properties
Its space group is C2/c (15). The total moment is 1.95 Bohr magnetons per cell. As for the volume: 11.98 Å³ per atom. As for the polymorph energy (0 for the lowest one): 0.0181 eV/atom. The formation energy (no corrections) comes out at -2037.1 meV/atom.


Record 5
Computed, not measured: a relaxed structure of Li3Cu3P2O8 at the PBEsol level of DFT.

The structure in extended XYZ format:
```
16
Lattice="5.0317 -0.0048 0.0497 -0.0075 5.2587 -0.0818 0.0513 -0.1146 6.1806" Properties=species:S:1:pos:R:3 pbc="T T T"
O 2.0926 1.6008 1.8881
O 4.3550 3.6512 1.1698
O 4.5752 0.4601 6.1613
O 2.0120 1.5783 4.3839
O 4.5070 3.4849 4.8545
O 1.5544 4.1544 6.1242
O 2.0511 4.6133 3.0522
O 4.1264 0.8257 3.1735
Cu 0.0943 1.8440 1.6215
Cu 5.0204 4.0329 3.0086
Cu 2.3807 1.0902 0.0192
Li 2.5308 3.4694 4.5956
Li 2.4417 3.5166 1.4829
Li 5.0635 1.6103 4.6734
P 5.0452 4.2472 6.1072
P 2.5800 0.8108 3.1496
```

Properties
Its space group is P1 (1). The total moment is 0.00 Bohr magnetons per cell. As for the volume: 10.22 Å³ per atom. As for the polymorph energy (0 for the lowest one): 0.0051 eV/atom. The formation energy (no corrections) comes out at -1735.7 meV/atom.


Record 6
Computed, not measured: a relaxed structure of Li3Cu2P5O16 at the PBEsol level of DFT.

The structure in extended XYZ format:
```
52
Lattice="-3.6047 0.5365 -3.4649 -1.5002 -6.6983 0.5235 -11.2588 3.5180 12.7469" Properties=species:S:1:pos:R:3 pbc="T T T"
O -12.7074 2.3557 11.3376
O -10.5883 0.5562 5.6181
O -11.7669 -1.2342 6.5639
O -7.9944 -3.4951 5.2840
O -5.7791 -1.3930 0.0654
O -10.9595 -3.9669 6.4173
O -10.5846 -1.2508 9.7401
O -5.7754 -3.1999 4.1874
O -10.8607 0.9887 10.3710
O -10.4879 -1.6994 4.3857
O -3.8943 0.6844 -0.4572
O -5.4043 1.3231 3.3882
O -13.9132 3.1895 8.6852
O -12.4694 -3.3281 10.2627
O -4.5968 -1.4095 3.2416
O -9.7795 -3.3053 8.7352
O -5.8758 -0.9444 5.4198
O -11.8672 -0.8016 11.9196
O -6.8365 1.4775 7.0599
O -6.5842 0.6615 1.0703
O -4.4965 -1.8421 -2.1141
O -3.0302 -0.0641 1.9710
O -2.4506 -5.8333 1.1204
O -13.3335 -2.5797 7.8346
O -9.5272 -4.1213 2.7456
O -8.3693 0.8514 4.5215
O -7.1302 -1.2899 3.2091
O -3.6564 -4.9995 -1.5321
O -5.5030 -3.6324 -0.5655
O -12.9292 -0.2881 9.6417
O -3.4345 -2.3557 0.1638
O -9.2335 -1.3538 6.5964
P -6.7174 -4.2992 4.9498
P -3.1755 -0.7312 3.3126
P -9.6463 1.6555 4.8558
P -5.9346 -1.6219 4.0872
P -5.1420 -5.1269 -1.1250
P -11.6773 -0.3686 10.5002
P -4.6864 -2.2752 -0.6947
P -10.4291 -1.0219 5.7183
P -9.5836 -2.4491 9.9578
P -11.2217 2.4831 10.9306
Li -8.8552 -2.5149 3.7367
Li -2.4104 -4.2597 -0.1192
Li -13.9533 1.6160 9.9247
Li -11.7164 -3.6564 8.3407
Li -7.5086 -0.1289 6.0688
Li -4.6473 1.0127 1.4648
Cu -8.7977 -3.3498 7.0371
Cu -7.5660 0.7060 2.7684
Cu -14.1847 -1.9518 9.4871
Cu -2.1791 -0.6920 0.3184
```

Properties
Its space group is P2/c (13). The total moment is 4.00 Bohr magnetons per cell. As for the volume: 11.56 Å³ per atom. The formation energy (no corrections) comes out at -1969.3 meV/atom.


Record 7
Computed, not measured: a relaxed structure of Li2CuP4O12 at the PBEsol level of DFT.

The structure in extended XYZ format:
```
19
Lattice="-2.8044 4.3372 0.4924 0.5795 -2.7011 6.3252 6.0265 3.3455 -1.4866" Properties=species:S:1:pos:R:3 pbc="T T T"
P 0.7861 -0.0065 4.8569
P -0.7994 3.3792 2.7598
P 4.6010 1.6023 2.5712
P 3.0155 4.9880 0.4741
O 0.9266 1.4560 4.9687
O 5.3713 3.0028 2.7389
O -1.5697 1.9787 2.5921
O 2.5329 4.8881 3.8809
O 1.2687 0.0935 1.4501
O 1.8195 -0.6560 3.8209
O 3.1518 1.8270 2.7926
O 2.8750 3.5256 0.3623
O 2.8629 5.8106 -0.8015
O 0.9387 -0.8291 6.1325
O 1.9821 5.6376 1.5101
O 0.6498 3.1545 2.5383
Cu 0.0000 0.0000 0.0000
Li 1.7943 2.1790 1.2822
Li 2.0074 2.8026 4.0488
```

Properties
Its space group is P-1 (2). The total moment is 1.00 Bohr magnetons per cell. As for the volume: 11.90 Å³ per atom. As for the polymorph energy (0 for the lowest one): 0.0000 eV/atom. The formation energy (no corrections) comes out at -2055.1 meV/atom.


Record 8
Computed, not measured: a relaxed structure of Li5CuP2O8 at the PBEsol level of DFT.

The structure in extended XYZ format:
```
32
Lattice="-2.7963 -0.8383 -4.3290 -4.9659 -0.9215 3.4818 -2.0969 9.5874 -0.4304" Properties=species:S:1:pos:R:3 pbc="T T T"
O -8.6425 4.6872 -0.3757
O -5.8819 5.7225 0.8080
O -6.7905 2.9555 -0.3999
O -7.5818 -0.1205 -0.1364
O -4.8659 8.0221 0.6395
O -2.7522 1.4976 -0.4200
O -6.4356 5.3790 -2.4244
O -3.8043 6.0944 -0.6323
O -4.8041 0.9981 1.0401
O -7.7943 7.7635 -0.6343
O -3.8993 3.3529 0.7923
O -5.4006 0.8138 -2.1965
O -7.2153 8.0889 2.5380
O -4.8463 8.1852 -2.7554
O -3.8910 3.5162 -2.4501
O -1.2536 4.1953 -0.6529
Li -5.7399 3.7924 1.0090
Li -3.6325 1.5902 -2.1606
Li -6.1067 1.1143 -0.4061
Li -4.7011 6.2797 -2.3608
Li -3.1977 4.2369 -0.7667
Li -7.1457 5.8791 -0.6676
Li -5.9134 1.3127 2.6936
Li -5.8721 3.5438 -2.0946
Li -6.6914 8.6105 0.7459
Li -2.0441 7.0211 -1.0238
P -9.3408 7.9569 -0.5935
P -3.5224 1.8576 0.8948
P -4.5411 6.4987 0.6751
P -3.3632 4.0907 -3.7968
Cu -6.7109 8.4690 -2.1443
Cu -2.4033 -0.4607 -0.5388
```

Properties
Its space group is P1 (1). The total moment is 0.00 Bohr magnetons per cell. As for the volume: 9.83 Å³ per atom. As for the polymorph energy (0 for the lowest one): 0.0000 eV/atom. The formation energy (no corrections) comes out at -2197.4 meV/atom.


Record 9
Computed, not measured: a relaxed structure of Li5CuP2O8 at the PBEsol level of DFT.

The structure in extended XYZ format:
```
16
Lattice="4.9149 0.0019 0.0000 -0.0301 5.2279 0.0000 0.0000 0.0000 6.1148" Properties=species:S:1:pos:R:3 pbc="T T T"
P 2.4421 4.2813 3.0574
P -0.0014 0.8954 0.0000
Li 2.4727 4.3917 0.0000
Li 2.4884 1.7023 4.5596
Li 2.4884 1.7023 1.5551
Li 0.0048 3.5208 4.5820
Li 0.0048 3.5208 1.5328
O 0.5444 1.6615 1.2451
O 0.4833 4.6636 0.0000
O 2.9086 0.5488 3.0574
O 2.9773 3.5808 1.7770
O 0.5444 1.6615 4.8697
O 3.3663 0.9340 0.0000
O 0.8943 4.2115 3.0574
O 2.9773 3.5808 4.3378
Cu 0.0210 0.9759 3.0574
```

Properties
Its space group is Pm (6). The total moment is 0.03 Bohr magnetons per cell. As for the volume: 9.82 Å³ per atom. As for the polymorph energy (0 for the lowest one): 0.0009 eV/atom. The formation energy (no corrections) comes out at -2196.6 meV/atom.


Record 10
Computed, not measured: a relaxed structure of LiCuP4O12 at the PBEsol level of DFT.

The structure in extended XYZ format:
```
72
Lattice="9.0117 0.0000 0.0000 0.0000 9.2881 0.0000 0.0000 0.0000 10.0110" Properties=species:S:1:pos:R:3 pbc="T T T"
O 3.1465 8.3833 4.6929
O 8.7886 8.4826 8.6963
O 2.9261 3.3300 7.6019
O 3.1672 5.6532 8.7465
O 7.6730 8.2791 1.2645
O 5.8445 1.0091 6.2701
O 1.5750 8.1630 1.2446
O 6.0856 7.9741 7.4147
O 4.7289 0.8056 3.6908
O 3.2833 5.1399 4.1814
O 7.4367 3.5189 3.7609
O 6.0808 5.7692 8.7664
O 4.4685 1.0587 8.7253
O 7.6524 5.5489 5.3181
O 7.8902 4.0874 9.0457
O 7.6929 5.8792 2.7838
O 7.4319 1.3140 2.4092
O 4.5432 5.7028 6.2912
O 3.4036 3.4468 0.0532
O 3.1870 8.0530 7.2272
O 8.9744 3.5854 1.2857
O 4.5251 3.0779 2.2859
O 0.0193 1.5662 7.7252
O 1.1215 8.7315 5.9708
O 7.9095 1.1972 9.9578
O 5.8652 3.7392 0.3126
O 8.9107 6.0018 0.3252
O 7.7892 8.7924 5.8296
O 3.3844 0.5567 0.9653
O 1.5798 5.9581 2.5963
O 1.1022 5.8413 5.0588
O 4.4048 7.9304 9.6858
O 5.7284 0.4958 0.8241
O 0.2231 3.8385 6.3202
O 5.8247 3.4089 7.7893
O 1.2226 4.1483 9.1869
O 2.9309 1.1252 6.2501
O 5.6274 5.2007 4.0402
O 1.3189 1.2352 2.2217
O 0.0373 8.2294 3.7198
O 4.6069 3.2864 5.3307
O 4.2828 5.4496 1.3147
O 8.9924 6.2102 7.2914
O 0.1010 1.3577 4.6803
O 5.6081 8.0909 4.9523
O 1.3593 0.9048 9.6984
O 4.4866 7.7220 2.7197
O 1.3387 3.6350 3.7410
P 1.7535 5.0791 3.8222
P 8.9968 0.6457 8.8800
P 7.2582 0.4350 1.1833
P 2.6876 8.9137 6.1150
P 6.3241 4.2696 8.9015
P 7.1934 5.0185 3.8960
P 4.4974 0.1421 9.8914
P 6.2594 8.8531 6.1889
P 1.8183 0.3744 1.1095
P 9.0033 4.5020 0.1196
P 2.7524 4.2090 8.8277
P 4.5143 4.7861 5.1251
P 0.0149 5.2897 6.1365
P 4.4909 3.9984 1.1310
P 0.0085 9.1461 4.8859
P 4.5208 8.6425 3.8745
Cu 4.5589 6.8110 7.9567
Cu 0.0531 7.1212 2.0544
Cu 8.9586 2.4771 2.9512
Cu 4.4528 2.1669 7.0599
Li 1.2078 2.3115 6.4492
Li 5.7137 2.3325 3.5619
Li 7.8039 6.9556 8.5674
Li 3.2980 6.9766 1.4437
```

Properties
Its space group is P2_12_12_1 (19). The total moment is 8.16 Bohr magnetons per cell. As for the volume: 11.64 Å³ per atom. As for the polymorph energy (0 for the lowest one): 0.0223 eV/atom. The formation energy (no corrections) comes out at -1854.0 meV/atom.


Record 11
Computed, not measured: a relaxed structure of LiCu5P2O8 at the PBEsol level of DFT.

The structure in extended XYZ format:
```
32
Lattice="5.5680 0.0000 -0.1228 0.0000 6.1829 0.0000 -0.3516 0.0000 10.1694" Properties=species:S:1:pos:R:3 pbc="T T T"
O 0.2196 3.0914 7.0097
O 4.4001 3.0914 9.0313
O 3.5417 4.3263 6.9802
O 3.9816 4.3856 2.0325
O 4.4075 3.0914 4.1808
O 1.5722 1.3034 4.6768
O 4.5704 0.0000 -0.0858
O 1.5722 4.8795 4.6768
O 0.6946 4.9385 9.3992
O 0.5549 3.0914 2.4375
O 1.0687 0.0000 1.4733
O 0.6946 1.2444 9.3992
O 0.6194 0.0000 6.6646
O 3.9816 1.7972 2.0325
O 5.0354 0.0000 4.2506
O 3.5417 1.8566 6.9802
Li 0.7536 3.0914 5.1462
Li 4.8228 0.0000 2.2965
Cu 2.0147 4.3560 1.9726
Cu 4.0114 0.0000 7.0436
Cu 3.6183 4.3679 -0.0740
Cu 1.2019 3.0914 9.8932
Cu 2.0147 1.8268 1.9726
Cu 3.6183 1.8150 -0.0740
Cu 3.5088 4.9755 4.7540
Cu 1.9400 4.8194 7.9523
Cu 1.9400 1.3634 7.9523
Cu 3.5088 1.2073 4.7540
P 4.6199 3.0914 2.6511
P 0.8548 0.0000 5.1314
P 0.5530 0.0000 -0.0023
P 4.3966 3.0914 7.4824
```

Properties
Its space group is Pm (6). The total moment is 0.04 Bohr magnetons per cell. As for the volume: 10.93 Å³ per atom. The formation energy (no corrections) comes out at -1297.2 meV/atom.


Record 12
Computed, not measured: a relaxed structure of LiCuP2O at the PBEsol level of DFT.

The structure in extended XYZ format:
```
5
Lattice="-0.4888 -3.0397 -0.4110 3.0474 -0.9269 3.2311 -3.2847 0.1052 3.1282" Properties=species:S:1:pos:R:3 pbc="T T T"
P 1.5237 -0.4635 1.6156
P -1.6424 0.0526 1.5641
Li 0.0000 0.0000 0.0000
Cu -0.3630 -1.9307 2.9742
O -0.2444 -1.5198 -0.2055
```

Properties
Its space group is P4/mmm (123). The total moment is 0.00 Bohr magnetons per cell. As for the volume: 12.79 Å³ per atom. The formation energy (no corrections) comes out at 540.8 meV/atom.